Density functional theory data (GGA+U) for a relaxed LiNiSnO4 crystal.

Cell lengths 6.0800, 5.9300, 6.0799 Å; angles 60.82, 89.75, 119.18 degrees
With the nearest neighbours (Å) after each atom.
Element x y z (fractional)
1 O 0.8030 0.0474 0.7085  2 Ni 1.94, 1 Sn 2.12
2 O 0.2085 0.4526 0.3030  2 Ni 1.94, 1 Sn 2.12
3 O 0.7545 0.9896 0.2546  2 Sn 2.10, 1 Ni 2.12, 2 Li 2.19
4 O 0.7546 0.5104 0.2545  2 Sn 2.10, 1 Ni 2.12, 2 Li 2.19
5 O 0.2454 0.4896 0.7455  2 Sn 2.10, 1 Ni 2.12, 2 Li 2.19
6 O 0.1970 0.9526 0.2915  2 Ni 1.94, 1 Sn 2.12
7 O 0.2455 0.0104 0.7454  2 Sn 2.10, 1 Ni 2.12, 2 Li 2.19
8 O 0.7915 0.5474 0.6970  2 Ni 1.94, 1 Sn 2.12
9 Sn 0.5000 0.5000 0.5000  6 O 2.10-2.12
10 Sn 0.0000 0.0000 0.0000  6 O 2.10-2.12
11 Li 0.5000 0.0000 0.5000  6 O 2.19-2.22
12 Li 0.0000 0.5000 0.0000  6 O 2.19-2.22
13 Ni 0.0000 0.5000 0.5000  6 O 1.94-2.12
14 Ni 0.0000 0.0000 0.5000  6 O 1.94-2.12

Final energy   -5.407 eV per atom
Offset from the most stable computed form   64 meV per atom
Mass density   5.21 g/cm3
Space group   Imma (74)